No. 1
## Mn2ReSe (PBE-GGA)

Data for crystalline Mn2ReSe at its relaxed geometry.

Structure (POSCAR):
```
Mn2ReSe
1.0
-0.0065 0.3003 2.8711
-1.4895 -2.4598 0.2540
5.3626 -3.2113 0.3480
Re Mn Se
1 2 1
direct
0.0000 0.0000 0.4817
0.0000 0.0000 0.9943
0.5000 0.5000 0.2442
0.5000 0.5000 0.7798
```

Summary:
- ΔE_f (raw): 1.205 eV/f.u.
- Energy: -33.07 eV per cell
- Mass density: 11.9 Mg/m³

---

No. 2
## Mn2ReSe (PBE-GGA)

Data for crystalline Mn2ReSe at its relaxed geometry.

Structure (POSCAR):
```
Mn2ReSe
1.0
-3.2742 0.0849 2.6774
-2.6352 -0.8497 -3.1984
3.2896 -2.5480 0.7631
Se Mn Re
1 2 1
direct
0.7500 0.2500 0.5000
0.2500 0.7500 0.5000
0.0000 0.0000 0.0000
0.5000 0.5000 0.0000
```

Summary:
- ΔE_f (raw): 1.539 eV/f.u.
- Energy: -32.73 eV per cell
- Mass density: 11.6 Mg/m³

---

No. 3
## Mn2ReSe (PBE-GGA)

Data for crystalline Mn2ReSe at its relaxed geometry.

Structure (POSCAR):
```
Mn2ReSe
1.0
-1.5601 -7.8785 0.7820
0.0858 -7.9359 -1.4597
1.2046 -7.9047 1.0868
Mn Se Re
2 1 1
direct
0.4968 0.4968 0.4968
0.0032 0.0032 0.0032
0.7500 0.7500 0.7500
0.2500 0.2500 0.2500
```

Summary:
- ΔE_f (raw): 1.145 eV/f.u.
- Energy: -33.13 eV per cell
- Mass density: 11.8 Mg/m³